Record 1
Compound: ZnFeAs3
Source: Alexandria
Functional: GGA-PBEsol
Structure: optimized geometry

a = 4.7066 Å, b = 4.7066 Å, c = 4.7066 Å
α = 90.00°, β = 90.00°, γ = 90.00°
Atoms (fractional coordinates):
Zn 0.0000 0.0000 0.0000
Fe 0.5000 0.5000 0.5000
As 0.0000 0.0000 0.5000
As 0.0000 0.5000 0.0000
As 0.5000 0.0000 0.0000

Summary:
The symmetry is Pm-3m. The energy relative to the elements comes out at 1.152 eV per atom. The calculation puts the volume at 20.9 Å³ per atom. For the electronic total energy, the calculation gives -4.02 eV per atom.

=====

Record 2
Compound: BaSi2SnI
Source: Alexandria
Functional: GGA-PBEsol
Structure: optimized geometry

a = 5.3940 Å, b = 5.3940 Å, c = 5.7261 Å
α = 90.00°, β = 90.00°, γ = 90.00°
Atoms (fractional coordinates):
Ba 0.0000 0.0000 0.0000
Si 0.0000 0.5000 0.5000
Si 0.5000 0.0000 0.5000
Sn 0.5000 0.5000 0.0000
I 0.5000 0.5000 0.5000

Summary:
The symmetry is P4/mmm. The calculation puts the uncorrected formation energy at 0.66 eV/atom. The calculation puts the volume at 33.3 Å³ per atom. For the electronic total energy, the calculation gives -3.27 eV per atom.

=====

Record 3
Compound: ZrC3
Source: Alexandria
Functional: GGA-PBEsol
Structure: optimized geometry

a = 3.8307 Å, b = 3.8307 Å, c = 3.8307 Å
α = 60.00°, β = 60.00°, γ = 60.00°
Atoms (fractional coordinates):
Zr 0.0000 0.0000 0.0000
C 0.2500 0.2500 0.2500
C 0.5000 0.5000 0.5000
C 0.7500 0.7500 0.7500

Summary:
The symmetry is Fm-3m. The calculation puts the excess energy over the best structure of this formula in the dataset at 1650 meV/atom. The energy relative to the elements comes out at 2.138 eV per atom. The calculation puts the volume at 9.9 Å³ per atom. For the electronic total energy, the calculation gives -7.37 eV per atom.

=====

Record 4
Compound: ZrSc2Tc
Source: Alexandria
Functional: GGA-PBEsol
Structure: optimized geometry

a = 3.9825 Å, b = 3.9825 Å, c = 4.8166 Å
α = 90.00°, β = 90.00°, γ = 90.00°
Atoms (fractional coordinates):
Zr 0.0000 0.0000 0.0000
Sc 0.0000 0.5000 0.5000
Sc 0.5000 0.0000 0.5000
Tc 0.5000 0.5000 0.0000

Summary:
The symmetry is P4/mmm. The calculation puts the excess energy over the best structure of this formula in the dataset at 172 meV/atom. The energy relative to the elements comes out at 0.018 eV per atom. The calculation puts the volume at 19.1 Å³ per atom. For the electronic total energy, the calculation gives -8.37 eV per atom.

=====

Record 5
Compound: ZrTiRh2I
Source: Alexandria
Functional: GGA-PBEsol
Structure: optimized geometry

a = 4.7440 Å, b = 4.7440 Å, c = 4.9520 Å
α = 90.00°, β = 90.00°, γ = 90.00°
Atoms (fractional coordinates):
Zr 0.0000 0.0000 0.0000
Ti 0.0000 0.0000 0.5000
Rh 0.0000 0.5000 0.0000
Rh 0.5000 0.0000 0.0000
I 0.5000 0.5000 0.5000

Summary:
The symmetry is P4/mmm. The calculation puts the uncorrected formation energy at 1.04 eV/atom. The calculation puts the volume at 22.3 Å³ per atom. For the electronic total energy, the calculation gives -6.05 eV per atom.

=====

Record 6
Compound: Ba3GaCu
Source: Alexandria
Functional: GGA-PBEsol
Structure: optimized geometry

a = 6.2788 Å, b = 6.2788 Å, c = 6.2788 Å
α = 90.00°, β = 90.00°, γ = 90.00°
Atoms (fractional coordinates):
Ba 0.0000 0.0000 0.5000
Ba 0.0000 0.5000 0.0000
Ba 0.5000 0.0000 0.0000
Ga 0.0000 0.0000 0.0000
Cu 0.5000 0.5000 0.5000

Summary:
The symmetry is Pm-3m. The energy relative to the elements comes out at 0.358 eV per atom. The calculation puts the volume at 49.5 Å³ per atom. For the electronic total energy, the calculation gives -2.47 eV per atom.

=====

Record 7
Compound: IrPb2W
Source: Alexandria
Functional: GGA-PBEsol
Structure: optimized geometry

a = 4.7180 Å, b = 4.7180 Å, c = 3.3636 Å
α = 90.00°, β = 90.00°, γ = 90.00°
Atoms (fractional coordinates):
Ir 0.0000 0.0000 0.0000
Pb 0.0000 0.5000 0.5000
Pb 0.5000 0.0000 0.5000
W 0.5000 0.5000 0.0000

Summary:
The symmetry is P4/mmm. The calculation puts the excess energy over the best structure of this formula in the dataset at 581 meV/atom. The energy relative to the elements comes out at 0.871 eV per atom. The calculation puts the volume at 18.7 Å³ per atom. For the electronic total energy, the calculation gives -7.04 eV per atom.

=====

Record 8
Compound: BaCaP
Source: Alexandria
Functional: GGA-PBEsol
Structure: optimized geometry

a = 5.1218 Å, b = 5.1218 Å, c = 5.1218 Å
α = 60.00°, β = 60.00°, γ = 60.00°
Atoms (fractional coordinates):
Ba 0.0000 0.0000 0.0000
Ca 0.5000 0.5000 0.5000
P 0.2500 0.2500 0.2500

Summary:
The symmetry is F-43m. The energy relative to the elements comes out at -0.785 eV per atom. The calculation puts the volume at 31.7 Å³ per atom. For the electronic total energy, the calculation gives -4.14 eV per atom.

=====

Record 9
Compound: BePt2
Source: Alexandria
Functional: GGA-PBEsol
Structure: optimized geometry

a = 6.7797 Å, b = 6.7797 Å, c = 4.1478 Å
α = 90.00°, β = 90.00°, γ = 156.54°
Atoms (fractional coordinates):
Be 0.0685 0.9315 0.7500
Be 0.9315 0.0685 0.2500
Pt 0.2900 0.7100 0.2500
Pt 0.4263 0.5737 0.7500
Pt 0.5737 0.4263 0.2500
Pt 0.7100 0.2900 0.7500

Summary:
The symmetry is Cmcm. The energy relative to the elements comes out at -0.528 eV per atom. The calculation puts the volume at 12.6 Å³ per atom. For the electronic total energy, the calculation gives -6.50 eV per atom.

=====

Record 10
Compound: Sr2ScCl2
Source: Alexandria
Functional: GGA-PBEsol
Structure: optimized geometry

a = 6.0769 Å, b = 6.0769 Å, c = 6.0769 Å
α = 119.09°, β = 119.09°, γ = 91.58°
Atoms (fractional coordinates):
Sr 0.2500 0.7500 0.5000
Sr 0.7500 0.2500 0.5000
Sc 0.0000 0.0000 0.0000
Cl 0.2872 0.2872 0.0000
Cl 0.7128 0.7128 0.0000

Summary:
The symmetry is I4/mmm. The calculation puts the uncorrected formation energy at -0.95 eV/atom. The calculation puts the volume at 32.2 Å³ per atom. For the electronic total energy, the calculation gives -3.81 eV per atom.

=====

Record 11
Compound: Y2FeCo
Source: Alexandria
Functional: GGA-PBEsol
Structure: optimized geometry

a = 3.8093 Å, b = 5.3912 Å, c = 5.3912 Å
α = 44.96°, β = 90.00°, γ = 90.00°
Atoms (fractional coordinates):
Y 0.0000 0.0000 0.0000
Y 0.5000 0.2918 0.2918
Fe 0.5000 0.5937 0.5937
Co 0.0000 0.6998 0.6998

Summary:
The symmetry is Amm2. The calculation puts the excess energy over the best structure of this formula in the dataset at 33 meV/atom. The energy relative to the elements comes out at -0.090 eV per atom. The calculation puts the volume at 19.6 Å³ per atom. For the electronic total energy, the calculation gives -7.68 eV per atom.

=====

Record 12
Compound: Y2GaTeW
Source: Alexandria
Functional: GGA-PBEsol
Structure: optimized geometry

a = 5.2760 Å, b = 5.2760 Å, c = 5.0146 Å
α = 90.00°, β = 90.00°, γ = 90.00°
Atoms (fractional coordinates):
Y 0.0000 0.5000 0.0000
Y 0.5000 0.0000 0.0000
Ga 0.0000 0.0000 0.0000
Te 0.0000 0.0000 0.5000
W 0.5000 0.5000 0.5000

Summary:
The symmetry is P4/mmm. The calculation puts the uncorrected formation energy at 1.14 eV/atom. The calculation puts the volume at 27.9 Å³ per atom. For the electronic total energy, the calculation gives -5.72 eV per atom.

=====

Record 13
Compound: MgBeRu2
Source: Alexandria
Functional: GGA-PBEsol
Structure: optimized geometry

a = 8.0261 Å, b = 8.0261 Å, c = 8.0261 Å
α = 19.77°, β = 19.77°, γ = 19.77°
Atoms (fractional coordinates):
Mg 0.0000 0.0000 0.0000
Be 0.5000 0.5000 0.5000
Ru 0.2393 0.2393 0.2393
Ru 0.7607 0.7607 0.7607

Summary:
The symmetry is R-3m. The energy relative to the elements comes out at 0.134 eV per atom. The calculation puts the volume at 12.9 Å³ per atom. For the electronic total energy, the calculation gives -6.38 eV per atom.